(1)
GdCu2O4: relaxed, PBE-GGA.

* size of the total moment: 6.102 μB/f.u.
* V: 11.4 Å³/atom
* final energy: -7.66 eV/atom
* theoretical density: 7.2 Mg/m³

a b c (Å): 5.7498 5.7498 9.6942
angles (deg): 90.00 90.00 90.00
Last column: nearest neighbours and their distance in Å.
Space group I4_1/a (No. 88, origin choice 2)
Unique sites:
Gd  0.0000  0.2500  0.1250 x4  8 O 2.42-2.43
Cu  0.0000  0.0000  0.5000 x8  4 O 1.90-1.92
O  0.1469  0.0381  0.3236 x16  2 Cu 1.90-1.92

---

(2)
La2SiTc: relaxed, PBE-GGA.

* size of the total moment: 0.004 μB/f.u.
* V: 24.3 Å³/atom
* final energy: -6.64 eV/atom
* theoretical density: 6.9 Mg/m³

a b c (Å): 3.3421 3.3421 8.7173
angles (deg): 90.00 90.00 90.00
Last column: nearest neighbours and their distance in Å.
Space group P4mm (No. 99)
Unique sites:
La  0.0000  0.0000  0.0000 x1  1 Si 3.09, 4 Tc 3.19, 4 La 3.34
La  0.5000  0.5000  0.4052 x1  1 Tc 3.04, 4 Si 3.16, 4 La 3.34
Si  0.0000  0.0000  0.6450 x1  4 Tc 2.55
Tc  0.5000  0.5000  0.7543 x1  4 Si 2.55

---

(3)
Li2CuTe: relaxed, PBE-GGA.

* size of the total moment: 0.000 μB/f.u.
* V: 17.4 Å³/atom
* final energy: -3.13 eV/atom
* theoretical density: 4.9 Mg/m³

a b c (Å): 4.3427 4.3427 7.3670
angles (deg): 90.00 90.00 90.00
Last column: nearest neighbours and their distance in Å.
Space group I4/mmm (No. 139)
Unique sites:
Li  0.0000  0.5000  0.2500 x4  4 Te 2.85, 4 Cu 2.85, 4 Li 3.07
Cu  0.0000  0.0000  0.0000 x2  8 Li 2.85, 4 Te 3.07
Te  0.0000  0.0000  0.5000 x2  8 Li 2.85, 4 Cu 3.07